Model 1:
# InAgPd6 (PBE-GGA, relaxed)
# Density of states at the Fermi level (states/eV per atom): 1.483
# Symmetry: P-6m2 (187)
data_InAgPd6
_space_group_name_H-M_alt 'P 1'
_space_group_IT_number 1
_cell_length_a 4.633
_cell_length_b 5.692
_cell_length_c 5.692
_cell_angle_alpha 120.01
_cell_angle_beta 90.00
_cell_angle_gamma 90.00
loop_
_space_group_symop_operation_xyz
'x,y,z'
loop_
_atom_site_label
_atom_site_type_symbol
_atom_site_fract_x
_atom_site_fract_y
_atom_site_fract_z
Pd1 Pd 0.500 0.916 0.582
Pd2 Pd 0.500 0.916 0.084
Pd3 Pd 0.000 0.080 0.415
Pd4 Pd 0.000 0.585 0.920
Pd5 Pd 0.000 0.585 0.415
Pd6 Pd 0.500 0.418 0.084
Ag1 Ag 0.000 0.083 0.917
In1 In 0.500 0.417 0.583



Model 2:
# InAgPd6 (PBE-GGA, relaxed)
# Density of states at the Fermi level (states/eV per atom): 1.085
# Symmetry: P-1 (2)
data_InAgPd6
_space_group_name_H-M_alt 'P 1'
_space_group_IT_number 1
_cell_length_a 6.963
_cell_length_b 7.565
_cell_length_c 5.142
_cell_angle_alpha 42.64
_cell_angle_beta 47.58
_cell_angle_gamma 57.29
loop_
_space_group_symop_operation_xyz
'x,y,z'
loop_
_atom_site_label
_atom_site_type_symbol
_atom_site_fract_x
_atom_site_fract_y
_atom_site_fract_z
Ag1 Ag 0.500 0.500 0.500
Pd1 Pd 0.542 0.750 0.665
Pd2 Pd 0.045 0.542 0.163
Pd3 Pd 0.458 0.250 0.335
Pd4 Pd 0.955 0.458 0.837
Pd5 Pd 0.251 0.043 0.247
Pd6 Pd 0.749 0.957 0.753
In1 In 0.000 0.000 0.000



Of them, model 2 has the lowest stability.



Model 1:
# In2Ag2Pd (PBE-GGA, relaxed)
# Density of states at the Fermi level (states/eV per atom): 0.298
# Symmetry: P4/mbm (127)
data_In2Ag2Pd
_space_group_name_H-M_alt 'P 1'
_space_group_IT_number 1
_cell_length_a 7.350
_cell_length_b 7.350
_cell_length_c 3.769
_cell_angle_alpha 90.00
_cell_angle_beta 90.00
_cell_angle_gamma 90.00
loop_
_space_group_symop_operation_xyz
'x,y,z'
loop_
_atom_site_label
_atom_site_type_symbol
_atom_site_fract_x
_atom_site_fract_y
_atom_site_fract_z
Pd1 Pd 0.500 0.500 0.000
Pd2 Pd 0.000 0.000 0.000
In1 In 0.157 0.343 0.000
In2 In 0.343 0.843 0.000
In3 In 0.657 0.157 0.000
In4 In 0.843 0.657 0.000
Ag1 Ag 0.644 0.856 0.500
Ag2 Ag 0.144 0.644 0.500
Ag3 Ag 0.856 0.356 0.500
Ag4 Ag 0.356 0.144 0.500



Model 2:
# In2Ag2Pd (PBE-GGA, relaxed)
# Density of states at the Fermi level (states/eV per atom): 0.433
# Symmetry: P4/mmm (123)
data_In2Ag2Pd
_space_group_name_H-M_alt 'P 1'
_space_group_IT_number 1
_cell_length_a 5.148
_cell_length_b 5.148
_cell_length_c 5.443
_cell_angle_alpha 90.00
_cell_angle_beta 90.00
_cell_angle_gamma 90.00
loop_
_space_group_symop_operation_xyz
'x,y,z'
loop_
_atom_site_label
_atom_site_type_symbol
_atom_site_fract_x
_atom_site_fract_y
_atom_site_fract_z
Ag1 Ag 0.000 0.500 0.000
Ag2 Ag 0.500 0.000 0.000
Pd1 Pd 0.500 0.500 0.500
In1 In 0.000 0.000 0.500
In2 In 0.000 0.000 0.000



Of them, model 2 has the lowest stability.



Model 1:
# InAg3Pd6 (PBE-GGA, relaxed)
# Density of states at the Fermi level (states/eV per atom): 0.679
# Symmetry: P2_1/m (11)
data_InAg3Pd6
_space_group_name_H-M_alt 'P 1'
_space_group_IT_number 1
_cell_length_a 4.103
_cell_length_b 8.880
_cell_length_c 9.109
_cell_angle_alpha 92.11
_cell_angle_beta 90.00
_cell_angle_gamma 90.00
loop_
_space_group_symop_operation_xyz
'x,y,z'
loop_
_atom_site_label
_atom_site_type_symbol
_atom_site_fract_x
_atom_site_fract_y
_atom_site_fract_z
Ag1 Ag 0.250 0.554 0.402
Ag2 Ag 0.750 0.250 0.996
Ag3 Ag 0.250 0.750 0.004
Ag4 Ag 0.750 0.656 0.203
Ag5 Ag 0.250 0.344 0.797
Ag6 Ag 0.750 0.446 0.598
In1 In 0.750 0.062 0.381
In2 In 0.250 0.938 0.619
Pd1 Pd 0.250 0.046 0.903
Pd2 Pd 0.750 0.356 0.295
Pd3 Pd 0.250 0.241 0.495
Pd4 Pd 0.250 0.452 0.099
Pd5 Pd 0.750 0.759 0.505
Pd6 Pd 0.750 0.138 0.691
Pd7 Pd 0.750 0.843 0.808
Pd8 Pd 0.250 0.157 0.192
Pd9 Pd 0.750 0.954 0.097
Pd10 Pd 0.250 0.862 0.309
Pd11 Pd 0.250 0.644 0.705
Pd12 Pd 0.750 0.548 0.901



Model 2:
# InAg3Pd6 (PBE-GGA, relaxed)
# Density of states at the Fermi level (states/eV per atom): 0.523
# Symmetry: P2_1/c (14)
data_InAg3Pd6
_space_group_name_H-M_alt 'P 1'
_space_group_IT_number 1
_cell_length_a 7.122
_cell_length_b 6.918
_cell_length_c 7.159
_cell_angle_alpha 90.00
_cell_angle_beta 90.22
_cell_angle_gamma 90.00
loop_
_space_group_symop_operation_xyz
'x,y,z'
loop_
_atom_site_label
_atom_site_type_symbol
_atom_site_fract_x
_atom_site_fract_y
_atom_site_fract_z
Pd1 Pd 0.350 0.866 0.052
Pd2 Pd 0.637 0.137 0.552
Pd3 Pd 0.863 0.637 0.948
Pd4 Pd 0.150 0.366 0.448
Pd5 Pd 0.363 0.863 0.448
Pd6 Pd 0.704 0.864 0.246
Pd7 Pd 0.796 0.364 0.254
Pd8 Pd 0.137 0.363 0.052
Pd9 Pd 0.204 0.636 0.746
Pd10 Pd 0.296 0.136 0.754
Pd11 Pd 0.850 0.634 0.552
Pd12 Pd 0.650 0.134 0.948
Ag1 Ag 0.577 0.809 0.757
Ag2 Ag 0.077 0.691 0.257
Ag3 Ag 0.423 0.191 0.243
Ag4 Ag 0.000 0.000 0.500
Ag5 Ag 0.500 0.500 0.000
Ag6 Ag 0.923 0.309 0.743
In1 In 0.000 0.000 0.000
In2 In 0.500 0.500 0.500



Of them, model 2 has the lowest stability.



Model 1:
# InAg2Pd6 (PBE-GGA, relaxed)
# Density of states at the Fermi level (states/eV per atom): 0.567
# Symmetry: C2/m (12)
data_InAg2Pd6
_space_group_name_H-M_alt 'P 1'
_space_group_IT_number 1
_cell_length_a 4.692
_cell_length_b 4.488
_cell_length_c 8.304
_cell_angle_alpha 94.59
_cell_angle_beta 90.00
_cell_angle_gamma 121.51
loop_
_space_group_symop_operation_xyz
'x,y,z'
loop_
_atom_site_label
_atom_site_type_symbol
_atom_site_fract_x
_atom_site_fract_y
_atom_site_fract_z
Ag1 Ag 0.660 0.321 0.268
Ag2 Ag 0.340 0.679 0.732
Pd1 Pd 0.006 0.012 0.834
Pd2 Pd 0.671 0.341 0.607
Pd3 Pd 0.329 0.658 0.058
Pd4 Pd 0.329 0.659 0.393
Pd5 Pd 0.994 0.988 0.166
Pd6 Pd 0.671 0.342 0.942
In1 In 0.000 0.000 0.500



Model 2:
# InAg2Pd6 (PBE-GGA, relaxed)
# Density of states at the Fermi level (states/eV per atom): 0.586
# Symmetry: C2/m (12)
data_InAg2Pd6
_space_group_name_H-M_alt 'P 1'
_space_group_IT_number 1
_cell_length_a 2.831
_cell_length_b 7.714
_cell_length_c 8.171
_cell_angle_alpha 118.17
_cell_angle_beta 99.99
_cell_angle_gamma 90.00
loop_
_space_group_symop_operation_xyz
'x,y,z'
loop_
_atom_site_label
_atom_site_type_symbol
_atom_site_fract_x
_atom_site_fract_y
_atom_site_fract_z
Pd1 Pd 0.164 0.351 0.334
Pd2 Pd 0.500 0.693 0.000
Pd3 Pd 0.164 0.982 0.334
Pd4 Pd 0.836 0.018 0.666
Pd5 Pd 0.836 0.649 0.666
Pd6 Pd 0.500 0.307 0.000
In1 In 0.000 0.000 0.000
Ag1 Ag 0.658 0.665 0.331
Ag2 Ag 0.342 0.335 0.669



Of them, model 2 has the lowest stability.